GGA+U VOsSe2F, optimized geometry; final energy = -25.92 eV per cell; total magnetization = 0.53 μB/atom; theoretical density = 7.1 g/cm3; DOS at the Fermi energy = 4.0 states/eV per cell
1.0
4.968 0.000 0.000
0.000 4.968 0.000
0.000 0.000 3.990
V Os Se F
1 1 2 1
Direct
0.000 0.000 0.000
0.500 0.500 0.500
0.000 0.500 0.500
0.500 0.000 0.500
0.500 0.500 0.000